(1)
ScBe2Re | PBE-GGA | relaxed

The total energy comes out at -25.9 eV for the cell shown. The value obtained for the calculated density is 7.98 Mg/m³. For the total moment, the calculation gives 0.000 μB/cell. The value obtained for the formation energy from the elements is 0.073 eV per atom.

Cell: 3.9477 3.9477 3.3283 Å, 90.00 90.00 90.00°
Sites, in units of the cell vectors:
Sc  0.0000  0.0000  0.0000
Be  0.0000  0.5000  0.5000
Be  0.5000  0.0000  0.5000
Re  0.5000  0.5000  0.0000


(2)
Ta2CoNi | PBE-GGA | relaxed

The total energy comes out at -37.1 eV for the cell shown. The value obtained for the calculated density is 13.93 Mg/m³. For the total moment, the calculation gives 0.001 μB/cell. The value obtained for the formation energy from the elements is -0.134 eV per atom.

Cell: 3.9346 3.9346 3.6926 Å, 90.00 90.00 90.00°
Sites, in units of the cell vectors:
Ta  0.0000  0.5000  0.0000
Ta  0.5000  0.0000  0.0000
Co  0.0000  0.0000  0.5000
Ni  0.5000  0.5000  0.5000


Among the records above, which one has the highest calculated density? Ta2CoNi


The highest total moment belongs to which entry? Ta2CoNi


Among the records above, which one has the highest total moment? Ta2CoNi